This record from the Alexandria database describes a geometry-optimized CaMoP structure. The functional is PBE-GGA.

Computed properties:
* DOS(E_F): 2.086 states/eV/f.u.
* space-group type: No. 156
* total magnetization: 0.252 μB per atom
* energy of formation: -0.169 eV per atom

Cell lengths 3.4772, 3.4772, 5.8682 Å; angles 90.00, 90.00, 120.00 degrees
Element x y z (fractional)
Ca  0.0000  0.0000  0.0000
Mo  0.6667  0.3333  0.4448
P  0.3333  0.6667  0.6615

***

This record from the Alexandria database describes a geometry-optimized PmYTm5 structure. The functional is PBE-GGA.

Computed properties:
* DOS(E_F): 10.247 states/eV/f.u.
* space-group type: No. 44
* total magnetization: 0.000 μB per atom
* energy of formation: 1.018 eV per atom

Cell lengths 7.6848, 7.6848, 7.6848 Å; angles 117.75, 81.62, 132.86 degrees
Element x y z (fractional)
Pm  0.0000  0.0000  0.0000
Y  0.2415  0.7415  0.5000
Tm  0.4734  0.4734  0.0000
Tm  0.4857  0.7282  0.7576
Tm  0.7377  0.0576  0.3199
Tm  0.7377  0.4178  0.6801
Tm  0.9706  0.7282  0.2424

***

Please write out number 1 again, unchanged.
This record from the Alexandria database describes a geometry-optimized CaMoP structure. The functional is PBE-GGA.

Computed properties:
* DOS(E_F): 2.086 states/eV/f.u.
* space-group type: No. 156
* total magnetization: 0.252 μB per atom
* energy of formation: -0.169 eV per atom

Cell lengths 3.4772, 3.4772, 5.8682 Å; angles 90.00, 90.00, 120.00 degrees
Element x y z (fractional)
Ca  0.0000  0.0000  0.0000
Mo  0.6667  0.3333  0.4448
P  0.3333  0.6667  0.6615

***

Number 1 is which compound?
CaMoP

***

The highest DOS(E_F) belongs to which entry?
PmYTm5